(w)
# PBE-GGA GaCoAsBr2, relaxed
# SG: P4/mmm
# Volume (Å³ per atom): 26.9
data_GaCoAsBr2
_chemical_formula_sum 'Ga1 Co1 As1 Br2'
_cell_length_a 5.1479
_cell_length_b 5.1479
_cell_length_c 5.0720
_cell_angle_alpha 90.00
_cell_angle_beta 90.00
_cell_angle_gamma 90.00
_space_group_name_H-M_alt 'P 1'
_space_group_IT_number 1
loop_
_space_group_symop_operation_xyz
'x,y,z'
loop_
_atom_site_label
_atom_site_fract_x
_atom_site_fract_y
_atom_site_fract_z
Ga1 0.0000 0.0000 0.0000
Co1 0.5000 0.5000 0.5000
As1 0.0000 0.0000 0.5000
Br1 0.0000 0.5000 0.0000
Br2 0.5000 0.0000 0.0000

***

(x)
# PBE-GGA GaCoAsBr2, relaxed
# SG: P4/mmm
# Volume (Å³ per atom): 24.3
data_GaCoAsBr2
_chemical_formula_sum 'Ga1 Co1 As1 Br2'
_cell_length_a 5.2624
_cell_length_b 5.2624
_cell_length_c 4.3833
_cell_angle_alpha 90.00
_cell_angle_beta 90.00
_cell_angle_gamma 90.00
_space_group_name_H-M_alt 'P 1'
_space_group_IT_number 1
loop_
_space_group_symop_operation_xyz
'x,y,z'
loop_
_atom_site_label
_atom_site_fract_x
_atom_site_fract_y
_atom_site_fract_z
Ga1 0.0000 0.0000 0.0000
Co1 0.5000 0.5000 0.5000
As1 0.5000 0.5000 0.0000
Br1 0.0000 0.5000 0.5000
Br2 0.5000 0.0000 0.5000

***

Quick one: least stable of them? (w)

***

(w)
# PBE-GGA CoGeAsBr2, relaxed
# SG: P4/mmm
# Volume (Å³ per atom): 22.4
data_CoGeAsBr2
_chemical_formula_sum 'Co1 Ge1 As1 Br2'
_cell_length_a 4.9426
_cell_length_b 4.9426
_cell_length_c 4.5809
_cell_angle_alpha 90.00
_cell_angle_beta 90.00
_cell_angle_gamma 90.00
_space_group_name_H-M_alt 'P 1'
_space_group_IT_number 1
loop_
_space_group_symop_operation_xyz
'x,y,z'
loop_
_atom_site_label
_atom_site_fract_x
_atom_site_fract_y
_atom_site_fract_z
Co1 0.0000 0.0000 0.0000
Ge1 0.5000 0.5000 0.5000
As1 0.0000 0.0000 0.5000
Br1 0.0000 0.5000 0.0000
Br2 0.5000 0.0000 0.0000

***

(x)
# PBE-GGA CoGeAsBr2, relaxed
# SG: P4/mmm
# Volume (Å³ per atom): 28.1
data_CoGeAsBr2
_chemical_formula_sum 'Co1 Ge1 As1 Br2'
_cell_length_a 5.1874
_cell_length_b 5.1874
_cell_length_c 5.2284
_cell_angle_alpha 90.00
_cell_angle_beta 90.00
_cell_angle_gamma 90.00
_space_group_name_H-M_alt 'P 1'
_space_group_IT_number 1
loop_
_space_group_symop_operation_xyz
'x,y,z'
loop_
_atom_site_label
_atom_site_fract_x
_atom_site_fract_y
_atom_site_fract_z
Co1 0.0000 0.0000 0.0000
Ge1 0.5000 0.5000 0.5000
As1 0.5000 0.5000 0.0000
Br1 0.0000 0.5000 0.5000
Br2 0.5000 0.0000 0.5000

***

Quick one: least stable of them? (x)

***

(w)
# PBE-GGA CoAs2HBr, relaxed
# SG: P4/mmm
# Volume (Å³ per atom): 21.3
data_CoAs2HBr
_chemical_formula_sum 'Co1 As2 H1 Br1'
_cell_length_a 4.4523
_cell_length_b 4.4523
_cell_length_c 5.3779
_cell_angle_alpha 90.00
_cell_angle_beta 90.00
_cell_angle_gamma 90.00
_space_group_name_H-M_alt 'P 1'
_space_group_IT_number 1
loop_
_space_group_symop_operation_xyz
'x,y,z'
loop_
_atom_site_label
_atom_site_fract_x
_atom_site_fract_y
_atom_site_fract_z
Co1 0.0000 0.0000 0.0000
As1 0.0000 0.5000 0.0000
As2 0.5000 0.0000 0.0000
H1 0.5000 0.5000 0.5000
Br1 0.0000 0.0000 0.5000

***

(x)
# PBE-GGA CoAs2HBr, relaxed
# SG: P4/mmm
# Volume (Å³ per atom): 19.5
data_CoAs2HBr
_chemical_formula_sum 'Co1 As2 H1 Br1'
_cell_length_a 3.7883
_cell_length_b 3.7883
_cell_length_c 6.7826
_cell_angle_alpha 90.00
_cell_angle_beta 90.00
_cell_angle_gamma 90.00
_space_group_name_H-M_alt 'P 1'
_space_group_IT_number 1
loop_
_space_group_symop_operation_xyz
'x,y,z'
loop_
_atom_site_label
_atom_site_fract_x
_atom_site_fract_y
_atom_site_fract_z
Co1 0.0000 0.0000 0.0000
As1 0.0000 0.5000 0.5000
As2 0.5000 0.0000 0.5000
H1 0.5000 0.5000 0.5000
Br1 0.5000 0.5000 0.0000

***

Quick one: least stable of them? (x)

***

(w)
# PBE-GGA HfCoAs2Br, relaxed
# SG: P4/mmm
# Volume (Å³ per atom): 27.8
data_HfCoAs2Br
_chemical_formula_sum 'Hf1 Co1 As2 Br1'
_cell_length_a 5.1838
_cell_length_b 5.1838
_cell_length_c 5.1706
_cell_angle_alpha 90.00
_cell_angle_beta 90.00
_cell_angle_gamma 90.00
_space_group_name_H-M_alt 'P 1'
_space_group_IT_number 1
loop_
_space_group_symop_operation_xyz
'x,y,z'
loop_
_atom_site_label
_atom_site_fract_x
_atom_site_fract_y
_atom_site_fract_z
Hf1 0.0000 0.0000 0.0000
Co1 0.5000 0.5000 0.5000
As1 0.0000 0.5000 0.0000
As2 0.5000 0.0000 0.0000
Br1 0.0000 0.0000 0.5000

***

(x)
# PBE-GGA HfCoAs2Br, relaxed
# SG: P4/mmm
# Volume (Å³ per atom): 20.0
data_HfCoAs2Br
_chemical_formula_sum 'Hf1 Co1 As2 Br1'
_cell_length_a 4.5725
_cell_length_b 4.5725
_cell_length_c 4.7761
_cell_angle_alpha 90.00
_cell_angle_beta 90.00
_cell_angle_gamma 90.00
_space_group_name_H-M_alt 'P 1'
_space_group_IT_number 1
loop_
_space_group_symop_operation_xyz
'x,y,z'
loop_
_atom_site_label
_atom_site_fract_x
_atom_site_fract_y
_atom_site_fract_z
Hf1 0.0000 0.0000 0.0000
Co1 0.5000 0.5000 0.5000
As1 0.0000 0.5000 0.5000
As2 0.5000 0.0000 0.5000
Br1 0.5000 0.5000 0.0000

***

Quick one: least stable of them? (w)

***

(w)
# PBE-GGA InCoAs2Br, relaxed
# SG: P4/mmm
# Volume (Å³ per atom): 30.0
data_InCoAs2Br
_chemical_formula_sum 'In1 Co1 As2 Br1'
_cell_length_a 5.2286
_cell_length_b 5.2286
_cell_length_c 5.4787
_cell_angle_alpha 90.00
_cell_angle_beta 90.00
_cell_angle_gamma 90.00
_space_group_name_H-M_alt 'P 1'
_space_group_IT_number 1
loop_
_space_group_symop_operation_xyz
'x,y,z'
loop_
_atom_site_label
_atom_site_fract_x
_atom_site_fract_y
_atom_site_fract_z
In1 0.0000 0.0000 0.0000
Co1 0.5000 0.5000 0.5000
As1 0.0000 0.5000 0.0000
As2 0.5000 0.0000 0.0000
Br1 0.0000 0.0000 0.5000

***

(x)
# PBE-GGA InCoAs2Br, relaxed
# SG: P4/mmm
# Volume (Å³ per atom): 31.7
data_InCoAs2Br
_chemical_formula_sum 'In1 Co1 As2 Br1'
_cell_length_a 4.3914
_cell_length_b 4.3914
_cell_length_c 8.2186
_cell_angle_alpha 90.00
_cell_angle_beta 90.00
_cell_angle_gamma 90.00
_space_group_name_H-M_alt 'P 1'
_space_group_IT_number 1
loop_
_space_group_symop_operation_xyz
'x,y,z'
loop_
_atom_site_label
_atom_site_fract_x
_atom_site_fract_y
_atom_site_fract_z
In1 0.0000 0.0000 0.0000
Co1 0.5000 0.5000 0.5000
As1 0.0000 0.5000 0.5000
As2 0.5000 0.0000 0.5000
Br1 0.5000 0.5000 0.0000

***

Quick one: least stable of them? (w)

***

(w)
# PBE-GGA CoAsIrBr2, relaxed
# SG: P4/mmm
# Volume (Å³ per atom): 20.5
data_CoAsIrBr2
_chemical_formula_sum 'Co1 As1 Ir1 Br2'
_cell_length_a 4.7894
_cell_length_b 4.7894
_cell_length_c 4.4637
_cell_angle_alpha 90.00
_cell_angle_beta 90.00
_cell_angle_gamma 90.00
_space_group_name_H-M_alt 'P 1'
_space_group_IT_number 1
loop_
_space_group_symop_operation_xyz
'x,y,z'
loop_
_atom_site_label
_atom_site_fract_x
_atom_site_fract_y
_atom_site_fract_z
Co1 0.0000 0.0000 0.0000
As1 0.0000 0.0000 0.5000
Ir1 0.5000 0.5000 0.5000
Br1 0.0000 0.5000 0.0000
Br2 0.5000 0.0000 0.0000

***

(x)
# PBE-GGA CoAsIrBr2, relaxed
# SG: P4/mmm
# Volume (Å³ per atom): 26.2
data_CoAsIrBr2
_chemical_formula_sum 'Co1 As1 Ir1 Br2'
_cell_length_a 5.3420
_cell_length_b 5.3420
_cell_length_c 4.5967
_cell_angle_alpha 90.00
_cell_angle_beta 90.00
_cell_angle_gamma 90.00
_space_group_name_H-M_alt 'P 1'
_space_group_IT_number 1
loop_
_space_group_symop_operation_xyz
'x,y,z'
loop_
_atom_site_label
_atom_site_fract_x
_atom_site_fract_y
_atom_site_fract_z
Co1 0.0000 0.0000 0.0000
As1 0.5000 0.5000 0.0000
Ir1 0.5000 0.5000 0.5000
Br1 0.0000 0.5000 0.5000
Br2 0.5000 0.0000 0.5000

***

Quick one: least stable of them? (w)

***

(w)
# PBE-GGA LiCoAs2Br, relaxed
# SG: P4/mmm
# Volume (Å³ per atom): 20.5
data_LiCoAs2Br
_chemical_formula_sum 'Li1 Co1 As2 Br1'
_cell_length_a 4.5077
_cell_length_b 4.5077
_cell_length_c 5.0360
_cell_angle_alpha 90.00
_cell_angle_beta 90.00
_cell_angle_gamma 90.00
_space_group_name_H-M_alt 'P 1'
_space_group_IT_number 1
loop_
_space_group_symop_operation_xyz
'x,y,z'
loop_
_atom_site_label
_atom_site_fract_x
_atom_site_fract_y
_atom_site_fract_z
Li1 0.0000 0.0000 0.0000
Co1 0.5000 0.5000 0.5000
As1 0.0000 0.5000 0.0000
As2 0.5000 0.0000 0.0000
Br1 0.0000 0.0000 0.5000

***

(x)
# PBE-GGA LiCoAs2Br, relaxed
# SG: P4/mmm
# Volume (Å³ per atom): 34.1
data_LiCoAs2Br
_chemical_formula_sum 'Li1 Co1 As2 Br1'
_cell_length_a 4.2889
_cell_length_b 4.2889
_cell_length_c 9.2819
_cell_angle_alpha 90.00
_cell_angle_beta 90.00
_cell_angle_gamma 90.00
_space_group_name_H-M_alt 'P 1'
_space_group_IT_number 1
loop_
_space_group_symop_operation_xyz
'x,y,z'
loop_
_atom_site_label
_atom_site_fract_x
_atom_site_fract_y
_atom_site_fract_z
Li1 0.0000 0.0000 0.0000
Co1 0.5000 0.5000 0.5000
As1 0.0000 0.5000 0.5000
As2 0.5000 0.0000 0.5000
Br1 0.5000 0.5000 0.0000

***

Quick one: least stable of them? (w)

***

(w)
# PBE-GGA MgCoAsBr2, relaxed
# SG: P4/mmm
# Volume (Å³ per atom): 28.3
data_MgCoAsBr2
_chemical_formula_sum 'Mg1 Co1 As1 Br2'
_cell_length_a 5.0359
_cell_length_b 5.0359
_cell_length_c 5.5723
_cell_angle_alpha 90.00
_cell_angle_beta 90.00
_cell_angle_gamma 90.00
_space_group_name_H-M_alt 'P 1'
_space_group_IT_number 1
loop_
_space_group_symop_operation_xyz
'x,y,z'
loop_
_atom_site_label
_atom_site_fract_x
_atom_site_fract_y
_atom_site_fract_z
Mg1 0.0000 0.0000 0.0000
Co1 0.5000 0.5000 0.5000
As1 0.0000 0.0000 0.5000
Br1 0.0000 0.5000 0.0000
Br2 0.5000 0.0000 0.0000

***

(x)
# PBE-GGA MgCoAsBr2, relaxed
# SG: P4/mmm
# Volume (Å³ per atom): 23.2
data_MgCoAsBr2
_chemical_formula_sum 'Mg1 Co1 As1 Br2'
_cell_length_a 5.0724
_cell_length_b 5.0724
_cell_length_c 4.5095
_cell_angle_alpha 90.00
_cell_angle_beta 90.00
_cell_angle_gamma 90.00
_space_group_name_H-M_alt 'P 1'
_space_group_IT_number 1
loop_
_space_group_symop_operation_xyz
'x,y,z'
loop_
_atom_site_label
_atom_site_fract_x
_atom_site_fract_y
_atom_site_fract_z
Mg1 0.0000 0.0000 0.0000
Co1 0.5000 0.5000 0.5000
As1 0.5000 0.5000 0.0000
Br1 0.0000 0.5000 0.5000
Br2 0.5000 0.0000 0.5000

***

Quick one: least stable of them? (w)

***

(w)
# PBE-GGA MnCoAsBr2, relaxed
# SG: P4/mmm
# Volume (Å³ per atom): 22.0
data_MnCoAsBr2
_chemical_formula_sum 'Mn1 Co1 As1 Br2'
_cell_length_a 4.9722
_cell_length_b 4.9722
_cell_length_c 4.4509
_cell_angle_alpha 90.00
_cell_angle_beta 90.00
_cell_angle_gamma 90.00
_space_group_name_H-M_alt 'P 1'
_space_group_IT_number 1
loop_
_space_group_symop_operation_xyz
'x,y,z'
loop_
_atom_site_label
_atom_site_fract_x
_atom_site_fract_y
_atom_site_fract_z
Mn1 0.0000 0.0000 0.0000
Co1 0.5000 0.5000 0.5000
As1 0.5000 0.5000 0.0000
Br1 0.0000 0.5000 0.5000
Br2 0.5000 0.0000 0.5000

***

(x)
# PBE-GGA MnCoAsBr2, relaxed
# SG: P4/mmm
# Volume (Å³ per atom): 25.3
data_MnCoAsBr2
_chemical_formula_sum 'Mn1 Co1 As1 Br2'
_cell_length_a 5.1379
_cell_length_b 5.1379
_cell_length_c 4.7950
_cell_angle_alpha 90.00
_cell_angle_beta 90.00
_cell_angle_gamma 90.00
_space_group_name_H-M_alt 'P 1'
_space_group_IT_number 1
loop_
_space_group_symop_operation_xyz
'x,y,z'
loop_
_atom_site_label
_atom_site_fract_x
_atom_site_fract_y
_atom_site_fract_z
Mn1 0.0000 0.0000 0.0000
Co1 0.5000 0.5000 0.5000
As1 0.0000 0.0000 0.5000
Br1 0.0000 0.5000 0.0000
Br2 0.5000 0.0000 0.0000

***

Quick one: least stable of them? (w)

***

(w)
# PBE-GGA NaCoAs2Br, relaxed
# SG: P4/mmm
# Volume (Å³ per atom): 34.4
data_NaCoAs2Br
_chemical_formula_sum 'Na1 Co1 As2 Br1'
_cell_length_a 4.3241
_cell_length_b 4.3241
_cell_length_c 9.2059
_cell_angle_alpha 90.00
_cell_angle_beta 90.00
_cell_angle_gamma 90.00
_space_group_name_H-M_alt 'P 1'
_space_group_IT_number 1
loop_
_space_group_symop_operation_xyz
'x,y,z'
loop_
_atom_site_label
_atom_site_fract_x
_atom_site_fract_y
_atom_site_fract_z
Na1 0.0000 0.0000 0.0000
Co1 0.5000 0.5000 0.5000
As1 0.0000 0.5000 0.5000
As2 0.5000 0.0000 0.5000
Br1 0.5000 0.5000 0.0000

***

(x)
# PBE-GGA NaCoAs2Br, relaxed
# SG: P4/mmm
# Volume (Å³ per atom): 26.9
data_NaCoAs2Br
_chemical_formula_sum 'Na1 Co1 As2 Br1'
_cell_length_a 5.0604
_cell_length_b 5.0604
_cell_length_c 5.2470
_cell_angle_alpha 90.00
_cell_angle_beta 90.00
_cell_angle_gamma 90.00
_space_group_name_H-M_alt 'P 1'
_space_group_IT_number 1
loop_
_space_group_symop_operation_xyz
'x,y,z'
loop_
_atom_site_label
_atom_site_fract_x
_atom_site_fract_y
_atom_site_fract_z
Na1 0.0000 0.0000 0.0000
Co1 0.5000 0.5000 0.5000
As1 0.0000 0.5000 0.0000
As2 0.5000 0.0000 0.0000
Br1 0.0000 0.0000 0.5000

***

Quick one: least stable of them? (x)

***

(w)
# PBE-GGA NaCoAsBr2, relaxed
# SG: P4/mmm
# Volume (Å³ per atom): 31.6
data_NaCoAsBr2
_chemical_formula_sum 'Na1 Co1 As1 Br2'
_cell_length_a 5.3420
_cell_length_b 5.3420
_cell_length_c 5.5439
_cell_angle_alpha 90.00
_cell_angle_beta 90.00
_cell_angle_gamma 90.00
_space_group_name_H-M_alt 'P 1'
_space_group_IT_number 1
loop_
_space_group_symop_operation_xyz
'x,y,z'
loop_
_atom_site_label
_atom_site_fract_x
_atom_site_fract_y
_atom_site_fract_z
Na1 0.0000 0.0000 0.0000
Co1 0.5000 0.5000 0.5000
As1 0.0000 0.0000 0.5000
Br1 0.0000 0.5000 0.0000
Br2 0.5000 0.0000 0.0000

***

(x)
# PBE-GGA NaCoAsBr2, relaxed
# SG: P4/mmm
# Volume (Å³ per atom): 24.6
data_NaCoAsBr2
_chemical_formula_sum 'Na1 Co1 As1 Br2'
_cell_length_a 5.3137
_cell_length_b 5.3137
_cell_length_c 4.3597
_cell_angle_alpha 90.00
_cell_angle_beta 90.00
_cell_angle_gamma 90.00
_space_group_name_H-M_alt 'P 1'
_space_group_IT_number 1
loop_
_space_group_symop_operation_xyz
'x,y,z'
loop_
_atom_site_label
_atom_site_fract_x
_atom_site_fract_y
_atom_site_fract_z
Na1 0.0000 0.0000 0.0000
Co1 0.5000 0.5000 0.5000
As1 0.5000 0.5000 0.0000
Br1 0.0000 0.5000 0.5000
Br2 0.5000 0.0000 0.5000

***

Quick one: least stable of them? (w)

***

(w)
# PBE-GGA NbCoAs2Br, relaxed
# SG: P4/mmm
# Volume (Å³ per atom): 19.5
data_NbCoAs2Br
_chemical_formula_sum 'Nb1 Co1 As2 Br1'
_cell_length_a 4.5088
_cell_length_b 4.5088
_cell_length_c 4.7859
_cell_angle_alpha 90.00
_cell_angle_beta 90.00
_cell_angle_gamma 90.00
_space_group_name_H-M_alt 'P 1'
_space_group_IT_number 1
loop_
_space_group_symop_operation_xyz
'x,y,z'
loop_
_atom_site_label
_atom_site_fract_x
_atom_site_fract_y
_atom_site_fract_z
Nb1 0.0000 0.0000 0.0000
Co1 0.5000 0.5000 0.5000
As1 0.0000 0.5000 0.5000
As2 0.5000 0.0000 0.5000
Br1 0.5000 0.5000 0.0000

***

(x)
# PBE-GGA NbCoAs2Br, relaxed
# SG: P4/mmm
# Volume (Å³ per atom): 26.1
data_NbCoAs2Br
_chemical_formula_sum 'Nb1 Co1 As2 Br1'
_cell_length_a 5.0033
_cell_length_b 5.0033
_cell_length_c 5.2182
_cell_angle_alpha 90.00
_cell_angle_beta 90.00
_cell_angle_gamma 90.00
_space_group_name_H-M_alt 'P 1'
_space_group_IT_number 1
loop_
_space_group_symop_operation_xyz
'x,y,z'
loop_
_atom_site_label
_atom_site_fract_x
_atom_site_fract_y
_atom_site_fract_z
Nb1 0.0000 0.0000 0.0000
Co1 0.5000 0.5000 0.5000
As1 0.0000 0.5000 0.0000
As2 0.5000 0.0000 0.0000
Br1 0.0000 0.0000 0.5000

***

Quick one: least stable of them? (x)